The following is a PBE with a Hubbard U calculation of a relaxed RbPWO2 crystal, from Alexandria.

Calculated values
Fermi-level density of states (states/eV per cell): 1.76
SG: P4/mmm (123)
Energy above the most stable polymorph in this dataset (eV/atom): 0.000

```
data_RbPWO2
_symmetry_space_group_name_H-M 'P 1'
_symmetry_Int_Tables_number 1
_cell_length_a 4.115
_cell_length_b 4.115
_cell_length_c 4.876
_cell_angle_alpha 90.00
_cell_angle_beta 90.00
_cell_angle_gamma 90.00
loop_
_symmetry_equiv_pos_as_xyz
'x,y,z'
loop_
_atom_site_label
_atom_site_type_symbol
_atom_site_fract_x
_atom_site_fract_y
_atom_site_fract_z
W1 W 0.000 0.000 0.000
O1 O 0.000 0.500 0.000
P1 P 0.000 0.000 0.500
O2 O 0.500 0.000 0.000
Rb1 Rb 0.500 0.500 0.500
```